# 1
Material: NaUBr6
Method: DFT, PBE
State: relaxed

The value obtained for the calculated total energy is -4.151 eV/atom.

It has space group C2/m (No. 12), with a = 7.225 Å, b = 13.004 Å, c = 7.124 Å, α = 90.00°, β = 108.18° and γ = 90.00°. The distinct sites, in fractional coordinates, are Na at (0.000, 0.000, 0.000), U at (0.000, 0.500, 0.500), Br at (0.222, 0.353, 0.733) and Br at (0.237, 0.500, 0.276).

# 2
Material: DyPPtO
Method: DFT, PBE
State: relaxed

The value obtained for the calculated total energy is -6.198 eV/atom. The calculation puts the energy above the most stable polymorph in this dataset at 921 meV/atom.

It has space group P4/nmm (No. 129, origin choice 2), with a = 5.373 Å, b = 5.373 Å, c = 4.558 Å, α = 90.00°, β = 90.00° and γ = 90.00°. The distinct sites, in fractional coordinates, are Dy at (0.250, 0.750, 0.000), P at (0.250, 0.250, 0.003), Pt at (0.250, 0.250, 0.503) and O at (0.250, 0.750, 0.500).

# 3
Material: CoW
Method: DFT, PBE
State: relaxed

The value obtained for the calculated total energy is -8.477 eV/atom. The formation energy from the elements comes out at 1556 meV/atom.

It has space group F-43m (No. 216), with a = 5.300 Å, b = 5.300 Å, c = 5.300 Å, α = 90.00°, β = 90.00° and γ = 90.00°. The distinct sites, in fractional coordinates, are Co at (0.000, 0.000, 0.000) and W at (0.250, 0.250, 0.750).